## Pu2MoN5 (PBE-GGA)

Data for an optimized crystal structure of Pu2MoN5.

POSCAR file:
```
Pu2MoN5
1.0
4.067 0.000 0.000
-2.033 5.553 0.000
0.000 0.000 10.579
Pu Mo N
4 2 10
Direct
0.855 0.709 0.428
0.855 0.709 0.072
0.145 0.291 0.572
0.145 0.291 0.928
0.833 0.666 0.750
0.167 0.334 0.250
0.946 0.892 0.879
0.946 0.892 0.621
0.301 0.602 0.430
0.301 0.602 0.070
0.732 0.464 0.250
0.268 0.536 0.750
0.699 0.398 0.570
0.699 0.398 0.930
0.054 0.108 0.121
0.054 0.108 0.379
```

- Formation energy (no corrections): -0.689 eV per atom